VASP calculation (PBE) on a relaxed structure of Hf2IrI.

Calculated values
- Polymorph energy (0 for the lowest one): 0.000 eV/atom
- Total magnetic moment: 0.000 μB/atom
- Uncorrected energy: -7.560 eV/atom

Lattice parameters (Å, degrees): 6.8655 6.8655 6.8655 90.00 90.00 90.00
Space group Fm-3m (No. 225)
Asymmetric unit:
1 Hf 0.2500 0.2500 0.2500
2 Ir 0.0000 0.0000 0.0000
3 I 0.0000 0.0000 0.5000